No. 1
Tm5AsSe5 (PBE-GGA, relaxed); formation energy without anion corrections = -1.78 eV per atom
1.0
-3.032 -3.742 3.033
-3.872 -2.257 -6.655
6.672 -1.772 -0.857
Tm As Se
5 1 5
Direct
0.161 0.830 0.322
0.163 0.332 0.325
0.500 0.000 0.000
0.837 0.668 0.675
0.839 0.170 0.678
0.000 0.000 0.000
0.333 0.665 0.665
0.332 0.166 0.663
0.000 0.500 0.000
0.668 0.834 0.337
0.667 0.335 0.335

No. 2
RbZnCd2 (PBE-GGA, relaxed); E_form = 0.10 eV/atom
1.0
5.836 0.000 0.000
0.000 5.836 0.000
2.918 2.918 9.151
Zn Rb Cd
2 2 4
Direct
0.500 0.500 0.000
0.250 0.750 0.500
0.000 0.000 0.000
0.750 0.250 0.500
0.375 0.125 0.250
0.375 0.625 0.250
0.375 0.625 0.750
0.875 0.625 0.750

No. 3
Pr2Tl5Cd (PBE-GGA, relaxed); E_form = -0.32 eV/atom
1.0
4.883 0.000 0.000
0.000 6.765 0.000
0.000 0.000 13.550
Pr Tl Cd
4 10 2
Direct
0.500 0.260 0.372
0.500 0.740 0.628
0.500 0.240 0.872
0.500 0.760 0.128
0.500 0.263 0.121
0.500 0.737 0.879
0.500 0.763 0.379
0.500 0.237 0.621
0.000 0.990 0.746
0.000 0.010 0.254
0.000 0.490 0.754
0.000 0.510 0.246
0.000 0.500 0.500
0.000 0.000 0.000
0.000 0.000 0.500
0.000 0.500 0.000

No. 4
TlCdBiPb2 (PBE-GGA, relaxed); excess energy over the best structure of this formula in the dataset = 411 meV per atom; E_form = 0.49 eV/atom
1.0
6.176 0.000 0.000
0.000 5.637 0.000
0.000 0.000 6.176
Pb Tl Bi Cd
2 1 1 1
Direct
0.000 0.000 0.500
0.500 0.000 0.000
0.500 0.500 0.500
0.000 0.000 0.000
0.000 0.500 0.000

No. 5
PaFe3B2 (PBE-GGA, relaxed); E_form = -0.35 eV/atom
1.0
3.466 0.000 0.000
-1.733 7.062 0.277
0.000 -2.975 5.481
Pa Fe B
2 6 4
Direct
0.852 0.704 0.933
0.148 0.296 0.067
0.322 0.644 0.576
0.960 0.920 0.625
0.592 0.184 0.681
0.408 0.816 0.319
0.040 0.080 0.375
0.678 0.356 0.424
0.482 0.963 0.837
0.518 0.037 0.163
0.812 0.625 0.371
0.188 0.375 0.629

| no. | magnetization (Bohr magnetons per cell) |
| --- | --- |
| 1 | 0.000 |
| 2 | 0.000 |
| 3 | 0.000 |
| 4 | 0.000 |
| 5 | 0.004 |